# NiW (PBE, optimized geometry)
# energy of formation from the pure elements: 0.9 eV per formula unit
# E: -8.90 eV/atom
# Fermi-level density of states: 15.513 states/eV per cell
data_NiW
_chemical_formula_sum 'Ni4 W4'
_space_group_name_H-M_alt 'P 63/m m c'
_space_group_IT_number 194
_space_group_name_Hall '-P 6c 2c'
_cell_length_a 4.1129
_cell_length_b 4.1129
_cell_length_c 7.8525
_cell_angle_alpha 90.00
_cell_angle_beta 90.00
_cell_angle_gamma 120.00
loop_
_atom_site_label
_atom_site_type_symbol
_atom_site_fract_x
_atom_site_fract_y
_atom_site_fract_z
Ni1 Ni 0.0000 0.0000 0.2500
Ni2 Ni 0.3333 0.6667 0.2500
W1 W 0.3333 0.6667 0.5812